The following is a DFT calculation (PBE) of a relaxed structure of NaHg5.

Lattice parameters (Å, degrees): 5.3384 5.3636 6.2958 94.30 90.00 119.84
Fractional positions:
Na 0.3055 0.6111 0.1111
Hg 0.9682 0.9364 0.8605
Hg 0.3056 0.6112 0.6111
Hg 0.6429 0.2858 0.3617
Hg 0.6363 0.2726 0.8623
Hg 0.9748 0.9496 0.3600

Calculated values
- distance to the lowest polymorph of the same formula (meV per atom) = 0
- energy of formation from the pure elements (eV per atom) = -0.133
- magnetic moment (μB/cell) = 0.0

The following is a DFT calculation (PBE) of a relaxed structure of MnSi5.

Lattice parameters (Å, degrees): 4.2574 4.2574 7.2722 77.97 77.97 40.74
Fractional positions:
Mn 0.9965 0.9965 0.0334
Si 0.3672 0.3672 0.3253
Si 0.5961 0.5961 0.7530
Si 0.6721 0.6721 0.1982
Si 0.9030 0.9030 0.6000
Si 0.2984 0.2984 0.9234

Calculated values
- formation energy without anion corrections (eV per formula unit) = 0.92
- distance to the lowest polymorph of the same formula (meV per atom) = 0
- magnetic moment (μB/cell) = 0.0

The following is a DFT calculation (PBE) of a relaxed structure of Tb12Pm6Tm.

Lattice parameters (Å, degrees): 8.7016 8.7016 8.7016 79.51 79.51 79.51
Fractional positions:
Tb 0.8040 0.4856 0.4855
Tb 0.4855 0.8040 0.4856
Tb 0.4856 0.4855 0.8040
Tb 0.1960 0.5144 0.5145
Tb 0.5145 0.1960 0.5144
Tb 0.5144 0.5145 0.1960
Tb 0.1361 0.1360 0.4884
Tb 0.8640 0.5116 0.8639
Tb 0.5116 0.8639 0.8640
Tb 0.8639 0.8640 0.5116
Tb 0.1360 0.4884 0.1361
Tb 0.4884 0.1361 0.1360
Pm 0.7684 0.7684 0.1618
Pm 0.8382 0.2316 0.2316
Pm 0.2316 0.8382 0.2316
Pm 0.2316 0.2316 0.8382
Pm 0.1618 0.7684 0.7684
Pm 0.7684 0.1618 0.7684
Tm 0.0000 0.0000 0.0000

Calculated values
- distance to the lowest polymorph of the same formula (meV per atom) = 0
- energy of formation from the pure elements (eV per atom) = 0.124
- magnetic moment (μB/cell) = 0.0